[1]
The following is a DFT calculation (meta-GGA SCAN) of a PBEsol-optimized structure of P2IrOs. Values from VASP.

Properties
Uncorrected energy   -163.82 eV/cell
Formation energy   -12 meV/atom
Relative energy among the computed polymorphs   0.000 eV/atom

Quantum ESPRESSO input file:
```
&SYSTEM
  ibrav = 0, nat = 4, ntyp = 3
/
ATOMIC_SPECIES
P 30.97 P.upf
Ir 192.22 Ir.upf
Os 190.23 Os.upf
CELL_PARAMETERS angstrom
1.4405 0.8317 7.3452
-1.4405 0.8317 7.3452
0.0000 -1.6633 7.3452
ATOMIC_POSITIONS crystal
P 0.2485 0.2485 0.2485
P 0.7515 0.7515 0.7515
Ir 0.0000 0.0000 0.0000
Os 0.5000 0.5000 0.5000
```

=====

[2]
The following is a DFT calculation (meta-GGA SCAN) of a PBEsol-optimized structure of PIrOs2. Values from VASP.

Properties
Uncorrected energy   -224.96 eV/cell
Formation energy   74 meV/atom

Quantum ESPRESSO input file:
```
&SYSTEM
  ibrav = 0, nat = 4, ntyp = 3
/
ATOMIC_SPECIES
P 30.97 P.upf
Ir 192.22 Ir.upf
Os 190.23 Os.upf
CELL_PARAMETERS angstrom
1.3845 0.7994 8.1107
-1.3845 0.7994 8.1107
0.0000 -1.5987 8.1107
ATOMIC_POSITIONS crystal
P 0.0000 0.0000 0.0000
Ir 0.7431 0.7431 0.7431
Os 0.2588 0.2588 0.2588
Os 0.5024 0.5024 0.5024
```

=====

[3]
The following is a DFT calculation (meta-GGA SCAN) of a PBEsol-optimized structure of PIrOs2. Values from VASP.

Properties
Uncorrected energy   -223.18 eV/cell
Formation energy   518 meV/atom

Quantum ESPRESSO input file:
```
&SYSTEM
  ibrav = 0, nat = 4, ntyp = 3
/
ATOMIC_SPECIES
P 30.97 P.upf
Ir 192.22 Ir.upf
Os 190.23 Os.upf
CELL_PARAMETERS angstrom
4.4337 0.0000 0.0000
0.0000 4.4337 0.0000
0.0000 0.0000 2.7919
ATOMIC_POSITIONS crystal
P 0.0000 0.0000 0.0000
Ir 0.5000 0.5000 0.0000
Os 0.0000 0.5000 0.5000
Os 0.5000 0.0000 0.5000
```

=====

[4]
The following is a DFT calculation (meta-GGA SCAN) of a PBEsol-optimized structure of P2IrOs. Values from VASP.

Properties
Uncorrected energy   -163.59 eV/cell
Formation energy   46 meV/atom
Relative energy among the computed polymorphs   0.058 eV/atom

Quantum ESPRESSO input file:
```
&SYSTEM
  ibrav = 0, nat = 4, ntyp = 3
/
ATOMIC_SPECIES
P 30.97 P.upf
Ir 192.22 Ir.upf
Os 190.23 Os.upf
CELL_PARAMETERS angstrom
2.8216 0.0000 0.0000
0.0000 2.8216 0.0000
0.0000 0.0000 7.5544
ATOMIC_POSITIONS crystal
P 0.0000 0.0000 0.0000
P 0.5000 0.5000 0.3617
Ir 0.0000 0.0000 0.5469
Os 0.5000 0.5000 0.8223
```

=====

[5]
The following is a DFT calculation (meta-GGA SCAN) of a PBEsol-optimized structure of P2IrOs. Values from VASP.

Properties
Uncorrected energy   -162.54 eV/cell
Formation energy   309 meV/atom
Relative energy among the computed polymorphs   0.321 eV/atom

Quantum ESPRESSO input file:
```
&SYSTEM
  ibrav = 0, nat = 4, ntyp = 3
/
ATOMIC_SPECIES
P 30.97 P.upf
Ir 192.22 Ir.upf
Os 190.23 Os.upf
CELL_PARAMETERS angstrom
-2.1155 2.1155 2.9089
2.1155 -2.1155 2.9089
2.1155 2.1155 -2.9089
ATOMIC_POSITIONS crystal
P 0.2500 0.7500 0.5000
P 0.7500 0.2500 0.5000
Ir 0.0000 0.0000 0.0000
Os 0.5000 0.5000 0.0000
```

=====

[6]
The following is a DFT calculation (meta-GGA SCAN) of a PBEsol-optimized structure of IrOs2Pb2. Values from VASP.

Properties
Uncorrected energy   -358.41 eV/cell
Formation energy   1603 meV/atom

Quantum ESPRESSO input file:
```
&SYSTEM
  ibrav = 0, nat = 5, ntyp = 3
/
ATOMIC_SPECIES
Ir 192.22 Ir.upf
Os 190.23 Os.upf
Pb 207.20 Pb.upf
CELL_PARAMETERS angstrom
-2.0014 2.0014 6.1886
2.0014 -2.0014 6.1886
2.0014 2.0014 -6.1886
ATOMIC_POSITIONS crystal
Ir 0.0000 0.0000 0.0000
Os 0.4066 0.4066 0.0000
Os 0.5934 0.5934 0.0000
Pb 0.2500 0.7500 0.5000
Pb 0.7500 0.2500 0.5000
```

=====

Which of these has the highest formation energy?
IrOs2Pb2